#i
## CuAs2Au (PBE-GGA)

Data for CuAs2Au after structural relaxation.

a = 4.642 Å, b = 4.642 Å, c = 4.642 Å
α = 60.00°, β = 60.00°, γ = 60.00°
Positions (direct):
Cu (0.000, 0.000, 0.000)
As (0.250, 0.250, 0.250)
As (0.500, 0.500, 0.500)
Au (0.750, 0.750, 0.750)

***

#ii
## CuAs2Au (PBE-GGA)

Data for CuAs2Au after structural relaxation.

a = 5.892 Å, b = 5.892 Å, c = 5.892 Å
α = 140.34°, β = 136.61°, γ = 60.23°
Positions (direct):
Cu (0.000, 0.000, 0.000)
As (0.139, 0.639, 0.500)
As (0.861, 0.361, 0.500)
Au (0.500, 0.500, 0.000)

***

#iii
## CuAs2Au (PBE-GGA)

Data for CuAs2Au after structural relaxation.

a = 4.474 Å, b = 4.474 Å, c = 6.381 Å
α = 94.11°, β = 94.11°, γ = 38.17°
Positions (direct):
Cu (0.000, 0.000, 0.000)
As (0.287, 0.287, 0.111)
As (0.328, 0.328, 0.506)
Au (0.612, 0.612, 0.683)

***

#iv
## CuAs2Au (PBE-GGA)

Data for CuAs2Au after structural relaxation.

a = 2.833 Å, b = 2.833 Å, c = 8.906 Å
α = 90.00°, β = 90.00°, γ = 90.18°
Positions (direct):
Cu (0.000, 0.000, 0.000)
As (0.000, 0.000, 0.531)
As (0.500, 0.500, 0.192)
Au (0.500, 0.500, 0.780)

***

Quick one: least stable of them? #i

***

#i
## CuAs2Au (PBE-GGA)

Data for CuAs2Au after structural relaxation.

a = 2.768 Å, b = 3.701 Å, c = 7.109 Å
α = 90.00°, β = 90.64°, γ = 90.00°
Positions (direct):
Cu (0.000, 0.000, 0.000)
As (0.503, 0.500, 0.824)
As (0.505, 0.000, 0.484)
Au (0.501, 0.500, 0.225)

***

#ii
## CuAs2Au (PBE-GGA)

Data for CuAs2Au after structural relaxation.

a = 4.624 Å, b = 4.624 Å, c = 4.624 Å
α = 60.00°, β = 60.00°, γ = 60.00°
Positions (direct):
Cu (0.000, 0.000, 0.000)
As (0.250, 0.250, 0.250)
As (0.750, 0.750, 0.750)
Au (0.500, 0.500, 0.500)

***

#iii
## CuAs2Au (PBE-GGA)

Data for CuAs2Au after structural relaxation.

a = 4.502 Å, b = 4.502 Å, c = 3.579 Å
α = 90.12°, β = 90.12°, γ = 104.70°
Positions (direct):
Cu (0.000, 0.000, 0.000)
As (0.000, 0.500, 0.500)
As (0.500, 0.000, 0.500)
Au (0.500, 0.500, 0.000)

***

#iv
## CuAs2Au (PBE-GGA)

Data for CuAs2Au after structural relaxation.

a = 6.197 Å, b = 6.197 Å, c = 6.197 Å
α = 35.73°, β = 35.73°, γ = 35.73°
Positions (direct):
Cu (0.000, 0.000, 0.000)
As (0.261, 0.261, 0.261)
As (0.739, 0.739, 0.739)
Au (0.500, 0.500, 0.500)

***

Quick one: least stable of them? #ii

***

#i
## Cu2As2Au (PBE-GGA)

Data for Cu2As2Au after structural relaxation.

a = 5.920 Å, b = 5.920 Å, c = 5.920 Å
α = 139.30°, β = 139.30°, γ = 58.91°
Positions (direct):
Cu (0.250, 0.750, 0.500)
Cu (0.750, 0.250, 0.500)
As (0.120, 0.120, 0.000)
As (0.880, 0.880, 0.000)
Au (0.500, 0.500, 0.000)

***

#ii
## Cu2As2Au (PBE-GGA)

Data for Cu2As2Au after structural relaxation.

a = 7.453 Å, b = 7.453 Å, c = 2.999 Å
α = 90.00°, β = 90.00°, γ = 90.00°
Positions (direct):
Cu (0.121, 0.379, 0.000)
Cu (0.379, 0.879, 0.000)
Cu (0.621, 0.121, 0.000)
Cu (0.879, 0.621, 0.000)
As (0.180, 0.680, 0.500)
As (0.320, 0.180, 0.500)
As (0.680, 0.820, 0.500)
As (0.820, 0.320, 0.500)
Au (0.000, 0.000, 0.500)
Au (0.500, 0.500, 0.500)

***

Quick one: least stable of them? #i

***

#i
## AsAuF2 (PBE-GGA)

Data for AsAuF2 after structural relaxation.

a = 8.321 Å, b = 8.321 Å, c = 8.321 Å
α = 152.95°, β = 152.95°, γ = 38.63°
Positions (direct):
As (0.000, 0.000, 0.000)
As (0.750, 0.250, 0.500)
Au (0.250, 0.750, 0.500)
Au (0.500, 0.500, 0.000)
F (0.076, 0.625, 0.951)
F (0.375, 0.326, 0.451)
F (0.674, 0.125, 0.049)
F (0.875, 0.924, 0.549)

***

#ii
## AsAuF2 (PBE-GGA)

Data for AsAuF2 after structural relaxation.

a = 4.317 Å, b = 4.317 Å, c = 4.317 Å
α = 60.00°, β = 60.00°, γ = 60.00°
Positions (direct):
As (0.000, 0.000, 0.000)
Au (0.500, 0.500, 0.500)
F (0.250, 0.250, 0.250)
F (0.750, 0.750, 0.750)

***

Quick one: least stable of them? #ii

***

#i
## AsAuF2 (PBE-GGA)

Data for AsAuF2 after structural relaxation.

a = 9.309 Å, b = 9.309 Å, c = 9.309 Å
α = 17.59°, β = 17.59°, γ = 17.59°
Positions (direct):
As (0.000, 0.000, 0.000)
Au (0.500, 0.500, 0.500)
F (0.067, 0.067, 0.067)
F (0.933, 0.933, 0.933)

***

#ii
## AsAuF2 (PBE-GGA)

Data for AsAuF2 after structural relaxation.

a = 9.290 Å, b = 9.290 Å, c = 9.290 Å
α = 17.53°, β = 17.53°, γ = 17.53°
Positions (direct):
As (0.000, 0.000, 0.000)
Au (0.500, 0.500, 0.500)
F (0.393, 0.393, 0.393)
F (0.607, 0.607, 0.607)

***

Quick one: least stable of them? #ii

***

#i
## As2AuF (PBE-GGA)

Data for As2AuF after structural relaxation.

a = 8.787 Å, b = 8.787 Å, c = 8.787 Å
α = 152.12°, β = 152.12°, γ = 39.84°
Positions (direct):
As (0.065, 0.625, 0.940)
As (0.375, 0.315, 0.440)
As (0.685, 0.125, 0.060)
As (0.875, 0.935, 0.560)
Au (0.250, 0.750, 0.500)
Au (0.500, 0.500, 0.000)
F (0.000, 0.000, 0.000)
F (0.750, 0.250, 0.500)

***

#ii
## As2AuF (PBE-GGA)

Data for As2AuF after structural relaxation.

a = 4.488 Å, b = 4.488 Å, c = 4.488 Å
α = 60.00°, β = 60.00°, γ = 60.00°
Positions (direct):
As (0.250, 0.250, 0.250)
As (0.750, 0.750, 0.750)
Au (0.000, 0.000, 0.000)
F (0.500, 0.500, 0.500)

***

Quick one: least stable of them? #i

***

#i
## AsAu3F (PBE-GGA)

Data for AsAu3F after structural relaxation.

a = 4.895 Å, b = 4.895 Å, c = 4.895 Å
α = 90.00°, β = 90.00°, γ = 90.00°
Positions (direct):
As (0.000, 0.000, 0.000)
Au (0.000, 0.000, 0.500)
Au (0.000, 0.500, 0.000)
Au (0.500, 0.000, 0.000)
F (0.500, 0.500, 0.500)

***

#ii
## AsAu3F (PBE-GGA)

Data for AsAu3F after structural relaxation.

a = 4.611 Å, b = 4.611 Å, c = 4.611 Å
α = 90.00°, β = 90.00°, γ = 90.00°
Positions (direct):
As (0.000, 0.000, 0.000)
Au (0.000, 0.500, 0.500)
Au (0.500, 0.000, 0.500)
Au (0.500, 0.500, 0.000)
F (0.500, 0.500, 0.500)

***

Quick one: least stable of them? #ii

***

#i
## AsAuNF2 (PBE-GGA)

Data for AsAuNF2 after structural relaxation.

a = 4.463 Å, b = 4.463 Å, c = 3.911 Å
α = 90.00°, β = 90.00°, γ = 90.00°
Positions (direct):
As (0.000, 0.000, 0.000)
Au (0.500, 0.500, 0.500)
N (0.500, 0.500, 0.000)
F (0.000, 0.500, 0.500)
F (0.500, 0.000, 0.500)

***

#ii
## AsAuNF2 (PBE-GGA)

Data for AsAuNF2 after structural relaxation.

a = 4.282 Å, b = 4.282 Å, c = 3.746 Å
α = 90.00°, β = 90.00°, γ = 90.00°
Positions (direct):
As (0.000, 0.000, 0.000)
Au (0.500, 0.500, 0.500)
N (0.000, 0.000, 0.500)
F (0.000, 0.500, 0.000)
F (0.500, 0.000, 0.000)

***

Quick one: least stable of them? #i